No. 1
Density functional theory data (PBE) for a geometry-optimized Pm2EuAu structure. Values from VASP.

Cell and atoms, written as Quantum ESPRESSO input:
```
&SYSTEM
  ibrav = 0, nat = 4, ntyp = 3
/
ATOMIC_SPECIES
Au 196.97 Au.upf
Pm 145.00 Pm.upf
Eu 151.96 Eu.upf
CELL_PARAMETERS angstrom
-1.679 -3.328 -1.917
4.029 -2.942 1.578
-2.598 -1.210 4.377
ATOMIC_POSITIONS angstrom
Au -0.840 -1.664 -0.959
Pm 2.014 -1.471 0.789
Eu -0.125 -3.740 2.019
Pm -1.299 -0.605 2.189
```

Calculated values
The electronic total energy is -5.966 eV per atom. The formation energy is -0.203 eV per atom. The space group is P4/mmm (123). Its relative energy among the computed polymorphs is 0.131 eV/atom.

***

No. 2
Density functional theory data (PBE) for a geometry-optimized PmEuAu2 structure. Values from VASP.

Cell and atoms, written as Quantum ESPRESSO input:
```
&SYSTEM
  ibrav = 0, nat = 4, ntyp = 3
/
ATOMIC_SPECIES
Au 196.97 Au.upf
Eu 151.96 Eu.upf
Pm 145.00 Pm.upf
CELL_PARAMETERS angstrom
5.244 0.000 0.000
2.622 4.541 0.000
2.622 1.514 4.281
ATOMIC_POSITIONS angstrom
Au 7.866 4.541 3.211
Eu 5.244 3.027 2.141
Au 2.622 1.514 1.070
Pm 0.000 0.000 0.000
```

Calculated values
The electronic total energy is -6.172 eV per atom. The formation energy is -0.777 eV per atom. The space group is Fm-3m (225). Its relative energy among the computed polymorphs is 0.014 eV/atom.

***

No. 3
Density functional theory data (PBE) for a geometry-optimized PmEuAu2 structure. Values from VASP.

Cell and atoms, written as Quantum ESPRESSO input:
```
&SYSTEM
  ibrav = 0, nat = 4, ntyp = 3
/
ATOMIC_SPECIES
Pm 145.00 Pm.upf
Au 196.97 Au.upf
Eu 151.96 Eu.upf
CELL_PARAMETERS angstrom
-1.620 3.115 1.247
-0.680 -1.661 3.266
6.554 2.379 2.574
ATOMIC_POSITIONS angstrom
Pm -1.150 0.727 2.256
Au 1.500 0.545 0.589
Au 5.054 1.834 1.985
Eu 2.127 1.916 3.544
```

Calculated values
The electronic total energy is -6.186 eV per atom. The formation energy is -0.791 eV per atom. The space group is P4/mmm (123). Its relative energy among the computed polymorphs is 0.000 eV/atom.

***

No. 4
Density functional theory data (PBE) for a geometry-optimized Pm2EuAu structure. Values from VASP.

Cell and atoms, written as Quantum ESPRESSO input:
```
&SYSTEM
  ibrav = 0, nat = 4, ntyp = 3
/
ATOMIC_SPECIES
Pm 145.00 Pm.upf
Au 196.97 Au.upf
Eu 151.96 Eu.upf
CELL_PARAMETERS angstrom
3.885 0.000 0.000
1.942 3.364 0.000
1.942 1.121 10.367
ATOMIC_POSITIONS angstrom
Pm 5.827 3.364 8.338
Au 0.000 0.000 0.000
Pm 1.942 1.121 2.028
Eu 3.885 2.243 5.183
```

Calculated values
The electronic total energy is -6.003 eV per atom. The formation energy is -0.240 eV per atom. The space group is R-3m (166). Its relative energy among the computed polymorphs is 0.094 eV/atom.

***

No. 5
Density functional theory data (PBE) for a geometry-optimized PmEu2Au structure. Values from VASP.

Cell and atoms, written as Quantum ESPRESSO input:
```
&SYSTEM
  ibrav = 0, nat = 4, ntyp = 3
/
ATOMIC_SPECIES
Eu 151.96 Eu.upf
Pm 145.00 Pm.upf
Au 196.97 Au.upf
CELL_PARAMETERS angstrom
3.769 0.000 0.000
1.884 3.264 0.000
1.884 1.088 11.364
ATOMIC_POSITIONS angstrom
Eu 1.884 1.088 7.837
Eu 5.653 3.264 3.527
Pm 0.000 0.000 0.000
Au 3.769 2.176 5.682
```

Calculated values
The electronic total energy is -7.242 eV per atom. The formation energy is -0.098 eV per atom. The space group is R-3m (166). Its relative energy among the computed polymorphs is 0.242 eV/atom.

***

No. 6
Density functional theory data (PBE) for a geometry-optimized Pm2EuAu structure. Values from VASP.

Cell and atoms, written as Quantum ESPRESSO input:
```
&SYSTEM
  ibrav = 0, nat = 4, ntyp = 3
/
ATOMIC_SPECIES
Au 196.97 Au.upf
Pm 145.00 Pm.upf
Eu 151.96 Eu.upf
CELL_PARAMETERS angstrom
-1.078 -1.810 -3.085
3.424 0.411 -1.437
2.506 -7.845 3.727
ATOMIC_POSITIONS angstrom
Au 1.173 -0.700 -2.261
Pm 0.486 -1.523 0.723
Eu 2.426 -4.622 -0.398
Pm 2.020 -6.322 3.004
```

Calculated values
The electronic total energy is -6.097 eV per atom. The formation energy is -0.334 eV per atom. The space group is P4/mmm (123). Its relative energy among the computed polymorphs is 0.000 eV/atom.